An optimized crystal structure of ErAg2, computed with GGA-PBE.

Lattice parameters (Å, degrees): 4.7587 4.7587 4.7587 60.00 60.00 60.00
Fractional coordinates of all 3 atoms:
Ag  0.2500  0.2500  0.2500
Er  0.0000  0.0000  0.0000
Ag  0.7500  0.7500  0.7500

Summary:
Mass density   8.35 g/cm³
Formation enthalpy at 0 K   0.12 eV/atom
Total moment   0.0 Bohr magnetons per cell